i) # LaOsCl2

LaOsCl2 after structural relaxation (PBEsol, Alexandria).

a = 4.3364 Å, b = 4.3364 Å, c = 3.9704 Å
α = 90.00°, β = 90.00°, γ = 90.00°
Fractional coordinates of all 4 atoms:
La1 0.0000 0.0000 0.0000
Os1 0.5000 0.5000 0.0000
Cl1 0.0000 0.5000 0.5000
Cl2 0.5000 0.0000 0.5000

Computed properties:
The crystal system is tetragonal. The space group is P4/mmm, No. 123. The calculation puts the calculated volume at 18.7 Å³/atom.

ii) # LaOsCl2

LaOsCl2 after structural relaxation (PBEsol, Alexandria).

a = 3.2608 Å, b = 3.2608 Å, c = 8.3313 Å
α = 90.00°, β = 90.00°, γ = 90.00°
Fractional coordinates of all 4 atoms:
La1 0.0000 0.0000 0.0000
Os1 0.5000 0.5000 0.2489
Cl1 0.0000 0.0000 0.4127
Cl2 0.5000 0.5000 0.7791

Computed properties:
The crystal system is tetragonal. The space group is P4mm, No. 99. The calculation puts the calculated volume at 22.1 Å³/atom.

iii) # LaOsCl2

LaOsCl2 after structural relaxation (PBEsol, Alexandria).

a = 12.2060 Å, b = 3.5526 Å, c = 4.6335 Å
α = 90.00°, β = 90.60°, γ = 90.00°
Fractional coordinates of all 8 atoms:
La1 0.0000 0.0000 0.0000
La2 0.5000 0.5000 0.0000
Os1 0.0000 0.5000 0.5000
Os2 0.5000 0.0000 0.5000
Cl1 0.1654 0.5000 0.7567
Cl2 0.3346 0.0000 0.2433
Cl3 0.6654 0.0000 0.7567
Cl4 0.8346 0.5000 0.2433

Computed properties:
The crystal system is monoclinic. The space group is C2/m, No. 12. The calculation puts the calculated volume at 25.1 Å³/atom.

Winner for stability: iii)

i) # LaPCl

LaPCl after structural relaxation (PBEsol, Alexandria).

a = 6.8363 Å, b = 6.8363 Å, c = 6.8363 Å
α = 90.00°, β = 90.00°, γ = 90.00°
Fractional coordinates of all 12 atoms:
La1 0.0000 0.0000 0.0000
La2 0.0000 0.5000 0.5000
La3 0.5000 0.0000 0.5000
La4 0.5000 0.5000 0.0000
P1 0.2500 0.2500 0.2500
P2 0.2500 0.7500 0.7500
P3 0.7500 0.2500 0.7500
P4 0.7500 0.7500 0.2500
Cl1 0.2500 0.2500 0.7500
Cl2 0.2500 0.7500 0.2500
Cl3 0.7500 0.2500 0.2500
Cl4 0.7500 0.7500 0.7500

Computed properties:
The crystal system is cubic. The space group is F-43m, No. 216. The calculation puts the calculated volume at 26.6 Å³/atom.

ii) # LaPCl

LaPCl after structural relaxation (PBEsol, Alexandria).

a = 3.4494 Å, b = 3.4494 Å, c = 12.4550 Å
α = 90.00°, β = 90.00°, γ = 90.00°
Fractional coordinates of all 6 atoms:
La1 0.0000 0.0000 0.0000
La2 0.5000 0.5000 0.5000
P1 0.0000 0.0000 0.6435
P2 0.5000 0.5000 0.1435
Cl1 0.0000 0.0000 0.3628
Cl2 0.5000 0.5000 0.8628

Computed properties:
The crystal system is tetragonal. The space group is I4mm, No. 107. The calculation puts the calculated volume at 24.7 Å³/atom.

Winner for stability: i)

i) # LaP2Cl

LaP2Cl after structural relaxation (PBEsol, Alexandria).

a = 4.1337 Å, b = 4.1337 Å, c = 5.6360 Å
α = 90.00°, β = 90.00°, γ = 90.00°
Fractional coordinates of all 4 atoms:
La1 0.0000 0.0000 0.0000
P1 0.5000 0.5000 0.1852
P2 0.5000 0.5000 0.8148
Cl1 0.0000 0.0000 0.5000

Computed properties:
The crystal system is tetragonal. The space group is P4/mmm, No. 123. The calculation puts the calculated volume at 24.1 Å³/atom.

ii) # LaP2Cl

LaP2Cl after structural relaxation (PBEsol, Alexandria).

a = 4.0910 Å, b = 4.0910 Å, c = 20.1456 Å
α = 90.00°, β = 90.00°, γ = 120.00°
Fractional coordinates of all 12 atoms:
La1 0.0000 0.0000 0.0000
La2 0.3333 0.6667 0.6667
La3 0.6667 0.3333 0.3333
P1 0.0000 0.0000 0.2429
P2 0.0000 0.0000 0.5590
P3 0.3333 0.6667 0.2257
P4 0.3333 0.6667 0.9096
P5 0.6667 0.3333 0.5762
P6 0.6667 0.3333 0.8923
Cl1 0.0000 0.0000 0.7493
Cl2 0.3333 0.6667 0.4160
Cl3 0.6667 0.3333 0.0826

Computed properties:
The crystal system is trigonal. The space group is R3m, No. 160. The calculation puts the calculated volume at 24.3 Å³/atom.

iii) # LaP2Cl

LaP2Cl after structural relaxation (PBEsol, Alexandria).

a = 6.9112 Å, b = 6.9112 Å, c = 6.9112 Å
α = 90.00°, β = 90.00°, γ = 90.00°
Fractional coordinates of all 16 atoms:
La1 0.0000 0.0000 0.0000
La2 0.0000 0.5000 0.5000
La3 0.5000 0.0000 0.5000
La4 0.5000 0.5000 0.0000
P1 0.0000 0.0000 0.5000
P2 0.0000 0.5000 0.0000
P3 0.2500 0.2500 0.2500
P4 0.2500 0.7500 0.7500
P5 0.5000 0.0000 0.0000
P6 0.5000 0.5000 0.5000
P7 0.7500 0.2500 0.7500
P8 0.7500 0.7500 0.2500
Cl1 0.2500 0.2500 0.7500
Cl2 0.2500 0.7500 0.2500
Cl3 0.7500 0.2500 0.2500
Cl4 0.7500 0.7500 0.7500

Computed properties:
The crystal system is cubic. The space group is F-43m, No. 216. The calculation puts the calculated volume at 20.6 Å³/atom.

Winner for stability: ii)

i) # LaPb2Cl

LaPb2Cl after structural relaxation (PBEsol, Alexandria).

a = 4.2468 Å, b = 4.2468 Å, c = 6.0472 Å
α = 90.00°, β = 90.00°, γ = 90.00°
Fractional coordinates of all 4 atoms:
La1 0.0000 0.0000 0.0000
Pb1 0.0000 0.5000 0.5000
Pb2 0.5000 0.0000 0.5000
Cl1 0.5000 0.5000 0.0000

Computed properties:
The crystal system is tetragonal. The space group is P4/mmm, No. 123. The calculation puts the calculated volume at 27.3 Å³/atom.

ii) # LaPb2Cl

LaPb2Cl after structural relaxation (PBEsol, Alexandria).

a = 4.7865 Å, b = 4.7865 Å, c = 17.2092 Å
α = 90.00°, β = 90.00°, γ = 120.00°
Fractional coordinates of all 12 atoms:
La1 0.0000 0.0000 0.0000
La2 0.3333 0.6667 0.6667
La3 0.6667 0.3333 0.3333
Pb1 0.0000 0.0000 0.5266
Pb2 0.0000 0.0000 0.7834
Pb3 0.3333 0.6667 0.1933
Pb4 0.3333 0.6667 0.4501
Pb5 0.6667 0.3333 0.1168
Pb6 0.6667 0.3333 0.8599
Cl1 0.0000 0.0000 0.2977
Cl2 0.3333 0.6667 0.9644
Cl3 0.6667 0.3333 0.6310

Computed properties:
The crystal system is trigonal. The space group is R3m, No. 160. The calculation puts the calculated volume at 28.5 Å³/atom.

iii) # LaPb2Cl

LaPb2Cl after structural relaxation (PBEsol, Alexandria).

a = 7.7107 Å, b = 7.7107 Å, c = 7.7107 Å
α = 90.00°, β = 90.00°, γ = 90.00°
Fractional coordinates of all 16 atoms:
La1 0.0000 0.0000 0.0000
La2 0.0000 0.5000 0.5000
La3 0.5000 0.0000 0.5000
La4 0.5000 0.5000 0.0000
Pb1 0.2500 0.2500 0.2500
Pb2 0.2500 0.2500 0.7500
Pb3 0.2500 0.7500 0.2500
Pb4 0.2500 0.7500 0.7500
Pb5 0.7500 0.2500 0.2500
Pb6 0.7500 0.2500 0.7500
Pb7 0.7500 0.7500 0.2500
Pb8 0.7500 0.7500 0.7500
Cl1 0.0000 0.0000 0.5000
Cl2 0.0000 0.5000 0.0000
Cl3 0.5000 0.0000 0.0000
Cl4 0.5000 0.5000 0.5000

Computed properties:
The crystal system is cubic. The space group is Fm-3m, No. 225. The calculation puts the calculated volume at 28.7 Å³/atom.

Winner for stability: ii)